[1]
A relaxed Zr2NbMo crystal. Source: Alexandria via LeMat-Bulk, functional PBE.

Lattice parameters (Å, degrees): 4.790 4.790 4.790 60.00 60.00 60.00
Atoms (fractional coordinates):
Mo1 0.000 0.000 0.000
Nb1 0.500 0.500 0.500
Zr1 0.750 0.750 0.750
Zr2 0.250 0.250 0.250

Values from the calculation:
* energy above the most stable polymorph in this dataset: 0.0191 eV per atom
* crystal system: cubic
* magnetization: 0.0 μB/cell
* final energy: -9.398 eV/atom
* V: 78 Å³/cell



[2]
A relaxed ScSiMo2 crystal. Source: Alexandria via LeMat-Bulk, functional PBE.

Lattice parameters (Å, degrees): 4.480 4.480 4.480 120.16 120.16 89.72
Atoms (fractional coordinates):
Sc1 0.500 0.500 0.000
Si1 0.750 0.250 0.500
Mo1 0.000 0.000 0.000
Mo2 0.250 0.750 0.500

Values from the calculation:
* crystal system: tetragonal
* magnetization: 0.0 μB/cell
* final energy: -8.579 eV/atom
* V: 63 Å³/cell